Record 1
Compound: La7Cd2Hg2
Source: Alexandria
Functional: PBE
Structure: optimized geometry

* E_tot: -3.4556 eV/atom
* SG: Cmmm (65)
* density: 7.0 g cm⁻³
* D(E_F): 16.191 states/eV/f.u.
* M_tot: 0.000 μB/cell

a = 7.137 Å, b = 7.918 Å, c = 7.137 Å
α = 90.00°, β = 109.52°, γ = 90.00°
Fractional positions:
La  0.000  0.301  0.500
La  0.500  0.699  0.000
La  0.000  0.699  0.500
La  0.500  0.301  0.000
La  0.000  0.000  0.000
La  0.500  0.734  0.500
La  0.500  0.266  0.500
Cd  0.834  0.500  0.834
Cd  0.166  0.500  0.166
Hg  0.715  0.000  0.285
Hg  0.285  0.000  0.715

=====

Record 2
Compound: La6CdHg
Source: Alexandria
Functional: PBE
Structure: optimized geometry

* SG: P-1 (2)
* density: 7.1 g cm⁻³
* D(E_F): 10.203 states/eV/f.u.
* M_tot: 0.000 μB/cell
* E above lowest polymorph: 74 meV/atom

a = 8.879 Å, b = 9.348 Å, c = 6.438 Å
α = 43.50°, β = 46.50°, γ = 58.33°
Fractional positions:
La  0.966  0.546  0.737
La  0.751  0.967  0.827
La  0.547  0.250  0.234
La  0.249  0.033  0.173
La  0.034  0.454  0.263
La  0.453  0.750  0.766
Cd  0.500  0.500  0.500
Hg  0.000  0.000  0.000

=====

Record 3
Compound: LaCdHg
Source: Alexandria
Functional: PBE
Structure: optimized geometry

* E_tot: -2.4896 eV/atom
* SG: Pmma (51)
* density: 9.3 g cm⁻³
* D(E_F): 2.308 states/eV/f.u.
* M_tot: 0.369 μB/cell

a = 3.543 Å, b = 5.154 Å, c = 8.835 Å
α = 90.00°, β = 90.00°, γ = 90.00°
Last column: magnetic moment on the atom in μB.
Fractional positions:
La  0.312  0.716  0.135  -0.09
La  0.312  0.216  0.658  -0.09
Cd  0.812  0.216  0.320  0.00
Cd  0.812  0.716  0.473  0.00
Hg  0.812  0.216  0.987  0.00
Hg  0.812  0.716  0.805  0.00

=====

Record 4
Compound: LaCdHg6
Source: Alexandria
Functional: PBE
Structure: optimized geometry

* SG: C2/m (12)
* density: 11.8 g cm⁻³
* D(E_F): 2.828 states/eV/f.u.
* M_tot: 0.000 μB/cell
* E above lowest polymorph: 0 meV/atom

a = 5.028 Å, b = 5.930 Å, c = 8.324 Å
α = 68.11°, β = 72.43°, γ = 64.92°
Fractional positions:
La  0.000  0.500  0.500
Cd  0.000  0.000  0.000
Hg  0.259  0.847  0.636
Hg  0.512  0.214  0.762
Hg  0.249  0.386  0.115
Hg  0.488  0.786  0.238
Hg  0.741  0.153  0.364
Hg  0.751  0.614  0.885

=====

Record 5
Compound: La14CdHg
Source: Alexandria
Functional: PBE
Structure: optimized geometry

* E_tot: -4.4570 eV/atom
* SG: P4/mmm (123)
* density: 6.8 g cm⁻³
* D(E_F): 25.657 states/eV/f.u.
* M_tot: 0.000 μB/cell

a = 7.241 Å, b = 7.241 Å, c = 10.467 Å
α = 90.00°, β = 90.00°, γ = 90.00°
Fractional positions:
La  0.875  0.875  0.000
La  0.375  0.375  0.000
La  0.875  0.375  0.500
La  0.875  0.375  0.000
La  0.375  0.875  0.500
La  0.375  0.875  0.000
La  0.624  0.126  0.256
La  0.624  0.126  0.744
La  0.126  0.624  0.256
La  0.126  0.624  0.744
La  0.624  0.624  0.256
La  0.624  0.624  0.744
La  0.126  0.126  0.256
La  0.126  0.126  0.744
Cd  0.875  0.875  0.500
Hg  0.375  0.375  0.500

=====

Record 6
Compound: La2CdHg2
Source: Alexandria
Functional: PBE
Structure: optimized geometry

* SG: C2/c (15)
* density: 9.1 g cm⁻³
* D(E_F): 5.584 states/eV/f.u.
* M_tot: 0.000 μB/cell
* E above lowest polymorph: 27 meV/atom

a = 6.356 Å, b = 6.455 Å, c = 9.262 Å
α = 61.65°, β = 69.93°, γ = 60.51°
Fractional positions:
La  0.529  0.841  0.856
La  0.774  0.341  0.356
La  0.471  0.159  0.144
La  0.226  0.659  0.644
Cd  0.200  0.750  0.250
Cd  0.800  0.250  0.750
Hg  0.258  0.231  0.514
Hg  0.003  0.269  0.986
Hg  0.742  0.769  0.486
Hg  0.997  0.731  0.014

=====

Record 7
Compound: La3Cd2Hg7
Source: Alexandria
Functional: PBE
Structure: optimized geometry

* E_tot: -1.8654 eV/atom
* SG: P2/m (10)
* density: 10.3 g cm⁻³
* D(E_F): 9.737 states/eV/f.u.
* M_tot: 0.000 μB/cell

a = 4.353 Å, b = 4.997 Å, c = 15.377 Å
α = 99.20°, β = 90.00°, γ = 90.00°
Fractional positions:
La  0.500  0.500  0.000
La  0.000  0.184  0.362
La  0.000  0.816  0.638
Cd  0.500  0.640  0.275
Cd  0.500  0.360  0.725
Hg  0.500  0.729  0.457
Hg  0.500  0.271  0.543
Hg  0.000  0.579  0.153
Hg  0.000  0.000  0.000
Hg  0.000  0.421  0.847
Hg  0.500  0.914  0.834
Hg  0.500  0.086  0.166

=====

Record 8
Compound: La8Cd2Hg
Source: Alexandria
Functional: PBE
Structure: optimized geometry

* SG: C2/m (12)
* density: 6.9 g cm⁻³
* D(E_F): 12.279 states/eV/f.u.
* M_tot: 0.000 μB/cell
* E above lowest polymorph: 0 meV/atom

a = 5.644 Å, b = 9.010 Å, c = 8.951 Å
α = 119.73°, β = 108.38°, γ = 90.00°
Fractional positions:
Cd  0.229  0.615  0.458
Cd  0.771  0.385  0.542
Hg  0.500  0.000  0.000
La  0.591  0.446  0.181
La  0.319  0.049  0.639
La  0.137  0.188  0.274
La  0.073  0.723  0.146
La  0.863  0.812  0.726
La  0.681  0.951  0.361
La  0.409  0.554  0.819
La  0.927  0.277  0.854

=====

Please write out number 4 again, unchanged.
Compound: LaCdHg6
Source: Alexandria
Functional: PBE
Structure: optimized geometry

* SG: C2/m (12)
* density: 11.8 g cm⁻³
* D(E_F): 2.828 states/eV/f.u.
* M_tot: 0.000 μB/cell
* E above lowest polymorph: 0 meV/atom

a = 5.028 Å, b = 5.930 Å, c = 8.324 Å
α = 68.11°, β = 72.43°, γ = 64.92°
Fractional positions:
La  0.000  0.500  0.500
Cd  0.000  0.000  0.000
Hg  0.259  0.847  0.636
Hg  0.512  0.214  0.762
Hg  0.249  0.386  0.115
Hg  0.488  0.786  0.238
Hg  0.741  0.153  0.364
Hg  0.751  0.614  0.885

=====

Which of these has the highest density? LaCdHg6

=====

Look up the D(E_F) of the fourth one. 2.828 states/eV/f.u.